No. 1
Entry from Alexandria: a relaxed structure of Hf5Zr2In5 (PBE-GGA).

Summary:
DFT formation energy, eV per atom: -0.07

Cell and atoms, written as CIF:
```
data_Hf5Zr2In5
_cell_length_a 14.886
_cell_length_b 5.013
_cell_length_c 8.786
_cell_angle_alpha 90.00
_cell_angle_beta 125.00
_cell_angle_gamma 90.00
_space_group_name_H-M_alt 'C 1 2/m 1'
_space_group_IT_number 12
loop_
_space_group_symop_operation_xyz
'x,y,z'
'-x,-y,-z'
'-x,y,-z'
'x,-y,z'
'x+1/2,y+1/2,z'
'-x+1/2,-y+1/2,-z'
'-x+1/2,y+1/2,-z'
'x+1/2,-y+1/2,z'
loop_
_atom_site_label
_atom_site_type_symbol
_atom_site_fract_x
_atom_site_fract_y
_atom_site_fract_z
Hf1 Hf 0.000 0.000 0.000
Hf2 Hf 0.163 0.000 0.829
Hf3 Hf 0.250 0.000 0.261
Zr1 Zr 0.100 0.000 0.426
In1 In 0.000 0.500 0.500
In2 In 0.090 0.500 0.906
In3 In 0.154 0.500 0.296
```

---

No. 2
Entry from Alexandria: a relaxed structure of Hf4Zr2In3 (PBE-GGA).

Summary:
DFT formation energy, eV per atom: -0.09

Cell and atoms, written as CIF:
```
data_Hf4Zr2In3
_cell_length_a 10.728
_cell_length_b 3.181
_cell_length_c 12.852
_cell_angle_alpha 90.00
_cell_angle_beta 112.11
_cell_angle_gamma 90.00
_space_group_name_H-M_alt 'C 1 2/m 1'
_space_group_IT_number 12
loop_
_space_group_symop_operation_xyz
'x,y,z'
'-x,-y,-z'
'-x,y,-z'
'x,-y,z'
'x+1/2,y+1/2,z'
'-x+1/2,-y+1/2,-z'
'-x+1/2,y+1/2,-z'
'x+1/2,-y+1/2,z'
loop_
_atom_site_label
_atom_site_type_symbol
_atom_site_fract_x
_atom_site_fract_y
_atom_site_fract_z
Hf1 Hf 0.170 0.000 0.170
Hf2 Hf 0.234 0.500 0.388
Zr1 Zr 0.041 0.000 0.720
In1 In 0.000 0.500 0.500
In2 In 0.109 0.500 0.943
```

---

No. 3
Entry from Alexandria: a relaxed structure of Hf7Zr2In (PBE-GGA).

Summary:
DFT formation energy, eV per atom: 0.88

Cell and atoms, written as CIF:
```
data_Hf7Zr2In
_cell_length_a 7.747
_cell_length_b 14.473
_cell_length_c 4.899
_cell_angle_alpha 90.00
_cell_angle_beta 90.00
_cell_angle_gamma 90.00
_space_group_name_H-M_alt 'C m m m'
_space_group_IT_number 65
_space_group_name_Hall '-C 2 2'
loop_
_atom_site_label
_atom_site_type_symbol
_atom_site_fract_x
_atom_site_fract_y
_atom_site_fract_z
Hf1 Hf 0.000 0.000 0.000
Hf2 Hf 0.000 0.283 0.500
Hf3 Hf 0.174 0.393 0.000
Zr1 Zr 0.000 0.206 0.000
In1 In 0.000 0.500 0.500
```

---

No. 4
Entry from Alexandria: a relaxed structure of HfZr2In4 (PBE-GGA).

Summary:
DFT formation energy, eV per atom: -0.14

Cell and atoms, written as CIF:
```
data_HfZr2In4
_cell_length_a 8.583
_cell_length_b 8.877
_cell_length_c 8.892
_cell_angle_alpha 90.00
_cell_angle_beta 90.00
_cell_angle_gamma 90.00
_space_group_name_H-M_alt 'F m m m'
_space_group_IT_number 69
_space_group_name_Hall '-F 2 2'
loop_
_atom_site_label
_atom_site_type_symbol
_atom_site_fract_x
_atom_site_fract_y
_atom_site_fract_z
Hf1 Hf 0.000 0.000 0.000
Zr1 Zr 0.000 0.250 0.250
In1 In 0.250 0.000 0.250
In2 In 0.250 0.250 0.000
```

---

Number 1: raw total energy -162.77 eV for the cell shown. Number 2: raw total energy -131.89 eV for the cell shown. Number 3: raw total energy -161.43 eV for the cell shown. Number 4: raw total energy -156.07 eV for the cell shown.